1.
# Y6SnS4

A geometry-optimized Y6SnS4 structure (PBE, Alexandria).

The structure in POSCAR format:
```
Y6SnS4
1.0
1.985 -6.533 0.000
1.985 6.533 0.000
0.000 0.000 20.065
Y Sn S
12 2 8
Direct
0.000 0.000 0.000
0.000 0.000 0.500
0.154 0.846 0.750
0.271 0.729 0.085
0.271 0.729 0.415
0.459 0.541 0.659
0.459 0.541 0.841
0.541 0.459 0.159
0.541 0.459 0.341
0.729 0.271 0.585
0.729 0.271 0.915
0.846 0.154 0.250
0.165 0.835 0.250
0.835 0.165 0.750
0.093 0.907 0.622
0.093 0.907 0.878
0.362 0.638 0.539
0.362 0.638 0.961
0.638 0.362 0.039
0.638 0.362 0.461
0.907 0.093 0.122
0.907 0.093 0.378
```

Properties
**Total DFT energy (no corrections)**: -7.024 eV per atom
**ΔE_f (raw)**: -1.634 eV per atom
**SG**: Cmcm, No. 63

2.
# La2Ti2Tl

A geometry-optimized La2Ti2Tl structure (PBE, Alexandria).

The structure in POSCAR format:
```
La2Ti2Tl
1.0
7.483 0.000 0.000
0.000 7.483 0.000
0.000 0.000 4.694
La Ti Tl
4 4 2
Direct
0.169 0.331 0.000
0.331 0.831 0.000
0.669 0.169 0.000
0.831 0.669 0.000
0.130 0.630 0.500
0.370 0.130 0.500
0.630 0.870 0.500
0.870 0.370 0.500
0.000 0.000 0.500
0.500 0.500 0.500
```

Properties
**Total DFT energy (no corrections)**: -5.509 eV per atom
**ΔE_f**: 0.0937 eV/atom
**SG**: P4/mbm, No. 127

3.
# ZrTaMoRh

A geometry-optimized ZrTaMoRh structure (PBE, Alexandria).

The structure in POSCAR format:
```
ZrTaMoRh
1.0
6.512 0.000 0.000
0.000 6.512 0.000
0.000 0.000 6.512
Zr Ta Mo Rh
4 4 4 4
Direct
0.000 0.000 0.000
0.000 0.500 0.500
0.500 0.000 0.500
0.500 0.500 0.000
0.000 0.000 0.500
0.000 0.500 0.000
0.500 0.000 0.000
0.500 0.500 0.500
0.250 0.250 0.750
0.250 0.750 0.250
0.750 0.250 0.250
0.750 0.750 0.750
0.250 0.250 0.250
0.250 0.750 0.750
0.750 0.250 0.750
0.750 0.750 0.250
```

Properties
**Total DFT energy (no corrections)**: -10.041 eV per atom
**ΔE_f**: -0.3955 eV/atom
**SG**: F-43m, No. 216

4.
# SrY4ErSe8

A geometry-optimized SrY4ErSe8 structure (PBE, Alexandria).

The structure in POSCAR format:
```
SrY4ErSe8
1.0
4.267 2.464 6.947
-4.267 2.464 6.947
0.000 -4.927 6.947
Sr Y Er Se
1 4 1 8
Direct
0.000 0.000 0.000
0.119 0.626 0.626
0.249 0.249 0.249
0.626 0.119 0.626
0.626 0.626 0.119
0.627 0.627 0.627
0.382 0.382 0.382
0.384 0.384 0.850
0.384 0.850 0.384
0.416 0.859 0.859
0.850 0.384 0.384
0.859 0.416 0.859
0.859 0.859 0.416
0.861 0.861 0.861
```

Properties
**Total DFT energy (no corrections)**: -6.086 eV per atom
**ΔE_f (raw)**: -1.802 eV per atom
**SG**: R3m, No. 160

5.
# PrPu2Zn9

A geometry-optimized PrPu2Zn9 structure (PBE, Alexandria).

The structure in POSCAR format:
```
PrPu2Zn9
1.0
2.707 1.563 8.819
-2.707 1.563 8.819
0.000 -3.125 8.819
Pr Pu Zn
1 2 9
Direct
0.000 0.000 0.000
0.149 0.149 0.149
0.851 0.851 0.851
0.079 0.584 0.584
0.335 0.335 0.335
0.416 0.416 0.921
0.416 0.921 0.416
0.500 0.500 0.500
0.584 0.079 0.584
0.584 0.584 0.079
0.665 0.665 0.665
0.921 0.416 0.416
```

Properties
**Total DFT energy (no corrections)**: -3.956 eV per atom
**ΔE_f**: -0.2132 eV/atom
**SG**: R-3m, No. 166

6.
# TmThCu3

A geometry-optimized TmThCu3 structure (PBE, Alexandria).

The structure in POSCAR format:
```
TmThCu3
1.0
1.749 -13.055 0.000
1.749 13.055 0.000
0.000 0.000 4.367
Tm Th Cu
2 2 6
Direct
0.206 0.794 0.750
0.794 0.206 0.250
0.074 0.926 0.250
0.926 0.074 0.750
0.325 0.675 0.750
0.379 0.621 0.250
0.476 0.524 0.250
0.524 0.476 0.750
0.621 0.379 0.750
0.675 0.325 0.250
```

Properties
**Total DFT energy (no corrections)**: -5.057 eV per atom
**ΔE_f**: -0.2214 eV/atom
**SG**: Cmcm, No. 63

Which of these has the highest total DFT energy (no corrections)?
PrPu2Zn9

Among the records above, which one has the lowest total DFT energy (no corrections)?
ZrTaMoRh

The lowest total DFT energy (no corrections) belongs to which entry?
ZrTaMoRh

What is the total DFT energy (no corrections) in the sixth record?
-5.057 eV per atom